Below is a relaxed Sr2SnBi crystal, with properties calculated at the PBE level.

abc: 5.436 5.436 4.621
angles: 90.00 90.00 90.00
Positions (direct):
Sr  0.000  0.500  0.000
Sr  0.500  0.000  0.000
Sn  0.000  0.000  0.500
Bi  0.500  0.500  0.500

Summary:
The energy relative to the elements comes out at -668 meV per atom. Its density of states at the Fermi level is 2.4 states/eV per cell. The total energy comes out at -3.4797 eV per atom. The excess energy over the best structure of this formula in the dataset is 0.0 kJ/mol of formula units.